(a)
Computed, not measured: a geometry-optimized BaCu2W structure at the PBE level of DFT.

Computed properties:
The density of states at the Fermi level comes out at 2.24 states/eV/f.u.

a b c (Å): 4.9597 4.9597 9.4051
angles (deg): 74.71 74.71 90.00
Closest atoms and distances in Å follow each position.
Atoms (fractional coordinates):
Ba  0.2500  0.7500  0.5000  4 W 3.51, 8 Cu 3.53
Cu  0.8750  0.1249  0.7500  2 Cu 2.48, 2 W 2.51
Ba  0.5000  0.5000  0.0000  4 W 3.51, 8 Cu 3.53
Cu  0.8751  0.6250  0.2500  2 Cu 2.48, 2 W 2.51
Cu  0.3750  0.1251  0.7500  2 Cu 2.48, 2 W 2.51
Cu  0.8749  0.1250  0.2500  2 Cu 2.48, 2 W 2.51
W  0.0000  0.0000  0.0000  4 Cu 2.51
W  0.7500  0.2500  0.5000  4 Cu 2.51



(b)
Computed, not measured: a geometry-optimized BaCu2W structure at the PBE level of DFT.

Computed properties:
The density of states at the Fermi level comes out at 3.24 states/eV/f.u.

a b c (Å): 3.0905 3.0905 8.1045
angles (deg): 90.00 90.00 90.00
Closest atoms and distances in Å follow each position.
Atoms (fractional coordinates):
W  0.0000  0.0000  0.4205  5 Cu 2.66-2.74
Ba  0.5000  0.5000  0.7628  4 Ba 3.09, 4 Cu 3.39
Cu  0.5000  0.5000  0.2343  4 Cu 2.51, 4 W 2.66
Cu  0.0000  0.0000  0.0823  4 Cu 2.51, 1 W 2.74



What should be chosen as the most stable of them? Choose (b).



(a)
Computed, not measured: a geometry-optimized BaCu2W structure at the PBE level of DFT.

Computed properties:
The density of states at the Fermi level comes out at 3.31 states/eV/f.u.

a b c (Å): 4.8523 4.8523 4.8523
angles (deg): 60.00 60.00 60.00
Closest atoms and distances in Å follow each position.
Atoms (fractional coordinates):
Cu  0.2500  0.2500  0.2500  4 Ba 2.97, 4 Cu 2.97
W  0.7500  0.7500  0.7500  4 Cu 2.97, 4 Ba 2.97
Ba  0.5000  0.5000  0.5000  4 Cu 2.97, 4 W 2.97
Cu  0.0000  0.0000  0.0000  4 W 2.97, 4 Cu 2.97



(b)
Computed, not measured: a geometry-optimized BaCu2W structure at the PBE level of DFT.

Computed properties:
The density of states at the Fermi level comes out at 4.31 states/eV/f.u.

a b c (Å): 5.9164 5.9164 5.9164
angles (deg): 151.28 128.64 59.91
Closest atoms and distances in Å follow each position.
Atoms (fractional coordinates):
Cu  0.9660  0.9660  0.0000  2 Cu 2.58
Ba  0.2422  0.7422  0.5000  2 Ba 2.93, 6 Cu 2.96-3.19
Cu  0.7587  0.2587  0.5000  2 Cu 2.58, 2 W 2.74
W  0.5330  0.5330  0.0000  6 Cu 2.74-3.03, 2 W 2.93



(c)
Computed, not measured: a geometry-optimized BaCu2W structure at the PBE level of DFT.

Computed properties:
The density of states at the Fermi level comes out at 3.26 states/eV/f.u.

a b c (Å): 2.9855 5.0873 5.0873
angles (deg): 90.00 90.00 90.00
Closest atoms and distances in Å follow each position.
Atoms (fractional coordinates):
Cu  0.0000  0.5000  0.5000  4 Ba 2.95, 4 W 2.95, 2 Cu 2.99
Cu  0.0000  0.0000  0.0000  4 Ba 2.95, 4 W 2.95, 2 Cu 2.99
Ba  0.5000  0.0000  0.5000  8 Cu 2.95, 2 Ba 2.99
W  0.5000  0.5000  0.0000  8 Cu 2.95, 2 W 2.99



(d)
Computed, not measured: a geometry-optimized BaCu2W structure at the PBE level of DFT.

Computed properties:
The density of states at the Fermi level comes out at 3.34 states/eV/f.u.

a b c (Å): 6.9970 5.1387 2.9314
angles (deg): 90.06 65.13 124.12
Closest atoms and distances in Å follow each position.
Atoms (fractional coordinates):
Cu  0.5000  0.0000  0.5000  4 Cu 2.93-3.17, 4 Ba 2.96, 4 W 2.96
Ba  0.5000  0.5000  0.0000  2 Ba 2.93, 8 Cu 2.96, 2 W 3.17
W  0.0000  0.5000  0.5000  2 W 2.93, 8 Cu 2.96, 2 Ba 3.17
Cu  0.0000  0.0000  0.0000  4 Cu 2.93-3.17, 4 W 2.96, 4 Ba 2.96



What should be chosen as the most stable of them? Choose (c).



(a)
Computed, not measured: a geometry-optimized BaCuW3 structure at the PBE level of DFT.

Computed properties:
The density of states at the Fermi level comes out at 9.85 states/eV/f.u.

a b c (Å): 4.7789 4.7789 4.7789
angles (deg): 90.00 90.00 90.00
Closest atoms and distances in Å follow each position.
Atoms (fractional coordinates):
Cu  0.0000  0.0000  0.0000  6 W 2.39
W  0.5000  0.0000  0.0000  2 Cu 2.39
W  0.0000  0.0000  0.5000  2 Cu 2.39
Ba  0.5000  0.5000  0.5000  12 W 3.38
W  0.0000  0.5000  0.0000  2 Cu 2.39



(b)
Computed, not measured: a geometry-optimized BaCuW3 structure at the PBE level of DFT.

Computed properties:
The density of states at the Fermi level comes out at 7.96 states/eV/f.u.

a b c (Å): 4.9740 4.9740 4.9740
angles (deg): 90.00 90.00 90.00
Closest atoms and distances in Å follow each position.
Atoms (fractional coordinates):
Ba  0.0000  0.0000  0.0000  6 W 2.49
Cu  0.5000  0.5000  0.5000  12 W 3.52
W  0.0000  0.0000  0.5000  2 Ba 2.49
W  0.5000  0.0000  0.0000  2 Ba 2.49
W  0.0000  0.5000  0.0000  2 Ba 2.49



What should be chosen as the most stable of them? Choose (a).



(a)
Computed, not measured: a geometry-optimized BaYCu2 structure at the PBE level of DFT.

Computed properties:
The density of states at the Fermi level comes out at 3.77 states/eV/f.u.

a b c (Å): 3.6875 3.7336 8.3433
angles (deg): 63.19 90.00 90.00
Closest atoms and distances in Å follow each position.
Atoms (fractional coordinates):
Y  0.5000  0.2500  0.2500  8 Cu 2.95
Ba  0.5000  0.7500  0.7500  8 Cu 3.53-3.55, 4 Ba 3.69-3.73, 2 Y 3.72
Cu  0.0000  0.5682  0.4311  1 Cu 2.70, 4 Y 2.95
Cu  0.0000  0.9318  0.0689  1 Cu 2.70, 4 Y 2.95



(b)
Computed, not measured: a geometry-optimized BaYCu2 structure at the PBE level of DFT.

Computed properties:
The density of states at the Fermi level comes out at 3.04 states/eV/f.u.

a b c (Å): 8.2959 5.2940 3.5782
angles (deg): 89.97 64.48 129.64
Closest atoms and distances in Å follow each position.
Atoms (fractional coordinates):
Cu  0.5000  0.0000  0.5000  4 Y 3.19-3.20, 4 Ba 3.19-3.20
Ba  0.5000  0.5000  0.0000  8 Cu 3.19-3.20
Y  0.0000  0.5000  0.5000  8 Cu 3.19-3.20
Cu  0.0000  0.0000  0.0000  4 Ba 3.19-3.20, 4 Y 3.19-3.20



What should be chosen as the most stable of them? Choose (a).



(a)
Computed, not measured: a geometry-optimized BaYCu2 structure at the PBE level of DFT.

Computed properties:
The density of states at the Fermi level comes out at 4.40 states/eV/f.u.

a b c (Å): 7.5618 7.5618 7.5618
angles (deg): 149.23 148.30 44.76
Closest atoms and distances in Å follow each position.
Atoms (fractional coordinates):
Y  0.4857  0.4857  0.0000  6 Cu 2.88-2.94
Cu  0.8418  0.3418  0.5000  2 Cu 2.46
Cu  0.9440  0.9440  0.0000  2 Cu 2.46
Ba  0.2285  0.7285  0.5000  6 Cu 3.29-3.65



(b)
Computed, not measured: a geometry-optimized BaYCu2 structure at the PBE level of DFT.

Computed properties:
The density of states at the Fermi level comes out at 4.54 states/eV/f.u.

a b c (Å): 4.2104 4.0397 6.8665
angles (deg): 72.87 90.00 90.00
Closest atoms and distances in Å follow each position.
Atoms (fractional coordinates):
Cu  0.5000  0.0567  0.2632  2 Cu 2.52
Cu  0.0000  0.1616  0.0521  2 Cu 2.52
Y  0.0000  0.5048  0.3650  6 Cu 2.88-3.00
Ba  0.5000  0.7769  0.8196  7 Cu 3.29-3.65



What should be chosen as the most stable of them? Choose (b).



(a)
Computed, not measured: a geometry-optimized BaYCu structure at the PBE level of DFT.

Computed properties:
The density of states at the Fermi level comes out at 4.31 states/eV/f.u.

a b c (Å): 5.2284 5.2284 5.2284
angles (deg): 60.00 60.00 60.00
Closest atoms and distances in Å follow each position.
Atoms (fractional coordinates):
Ba  0.5000  0.5000  0.5000  4 Cu 3.20
Cu  0.7500  0.7500  0.7500  4 Ba 3.20, 4 Y 3.20
Y  0.0000  0.0000  0.0000  4 Cu 3.20



(b)
Computed, not measured: a geometry-optimized BaYCu structure at the PBE level of DFT.

Computed properties:
The density of states at the Fermi level comes out at 3.34 states/eV/f.u.

a b c (Å): 7.3251 7.3251 3.7293
angles (deg): 75.25 75.25 29.49
Closest atoms and distances in Å follow each position.
Atoms (fractional coordinates):
Ba  0.9766  0.9766  0.0234  4 Cu 3.50, 1 Y 3.58, 4 Ba 3.73
Cu  0.3084  0.3084  0.6916  4 Y 2.93
Y  0.7150  0.7150  0.2850  4 Cu 2.93



What should be chosen as the most stable of them? Choose (b).